! Ba2Sr, single point on PBEsol structure, DFT SCAN; values from VASP
&SYSTEM
  ibrav = 0, nat = 6, ntyp = 2
/
ATOMIC_SPECIES
Sr 87.62 Sr.upf
Ba 137.33 Ba.upf
CELL_PARAMETERS angstrom
6.909 0.000 0.000
-3.455 5.984 0.000
0.000 0.000 8.211
ATOMIC_POSITIONS angstrom
Sr 3.455 1.995 6.158
Sr 0.000 3.989 2.053
Ba 0.000 0.000 0.000
Ba 0.000 0.000 4.105
Ba 3.455 1.995 2.053
Ba 0.000 3.989 6.158
! symmetry = No. 194
! formation energy = 0.055 eV/atom
! total DFT energy (no corrections) = -101.2 eV per formula unit